Entry 1:
Entry from OQMD via LeMat-Bulk: a relaxed structure of HoEr (GGA-PBE).

Cell and atoms, written as POSCAR:
```
HoEr
1.0
0.0000 3.5512 3.5512
3.5512 0.0000 3.5512
3.5512 3.5512 0.0000
Er Ho
1 1
direct
0.0000 0.0000 0.0000
0.2500 0.2500 0.2500
```

As for the distance to the lowest polymorph of the same formula: 1995 meV per atom. The value obtained for the magnetic moment is 0.02 μB per formula unit. The calculation puts the energy of formation at 1997 meV/atom. For the electronic total energy, the calculation gives -2.57 eV per atom.


Entry 2:
Entry from OQMD via LeMat-Bulk: a relaxed structure of DyY2Tm2Lu2Ni2Te2 (GGA-PBE).

Cell and atoms, written as POSCAR:
```
DyY2Tm2Lu2Ni2Te2
1.0
-1.9200 7.7383 4.7473
1.9200 -7.7383 4.7473
1.9200 7.7383 -4.7473
Y Ni Te Lu Dy Tm
2 2 2 2 1 2
direct
0.0974 0.7448 0.3526
0.3922 0.7448 0.6474
0.1681 0.4074 0.7607
0.6467 0.4074 0.2393
0.7423 0.2423 0.5000
0.1393 0.1393 0.0000
0.4122 0.0971 0.3151
0.7820 0.0971 0.6849
0.4776 0.4776 0.0000
0.7609 0.8941 0.8667
0.0274 0.8941 0.1333
```

As for the distance to the lowest polymorph of the same formula: 0 meV per atom. The value obtained for the magnetic moment is 0.01 μB per formula unit. For the electronic total energy, the calculation gives -5.50 eV per atom.


Entry 3:
Entry from OQMD via LeMat-Bulk: a relaxed structure of SrPrEr (GGA-PBE).

Cell and atoms, written as POSCAR:
```
SrPrEr
1.0
0.0000 4.0850 4.0850
4.0850 0.0000 4.0850
4.0850 4.0850 0.0000
Sr Er Pr
1 1 1
direct
0.7500 0.7500 0.7500
0.0000 0.0000 0.0000
0.2500 0.2500 0.2500
```

As for the distance to the lowest polymorph of the same formula: 0 meV per atom. The value obtained for the magnetic moment is 0.01 μB per formula unit. For the electronic total energy, the calculation gives -2.91 eV per atom.